VASP calculation (PBE-GGA) on a relaxed structure of Ac2Tl5Rh3.

The structure in POSCAR format:
```
Ac2Tl5Rh3
1.0
2.2435 -13.9539 0.0000
2.2435 13.9539 0.0000
0.0000 0.0000 7.9685
Ac Tl Rh
4 10 6
Direct
0.0281 0.9719 0.5000
0.3240 0.6760 0.3905
0.6760 0.3240 0.8905
0.9719 0.0281 0.0000
0.0964 0.9036 0.1089
0.2067 0.7933 0.5861
0.2082 0.7918 0.1927
0.3713 0.6287 0.9441
0.4466 0.5534 0.3300
0.5534 0.4466 0.8300
0.6287 0.3713 0.4441
0.7918 0.2082 0.6927
0.7933 0.2067 0.0861
0.9036 0.0964 0.6089
0.1120 0.8880 0.7260
0.2651 0.7349 0.8858
0.4580 0.5420 0.7142
0.5420 0.4580 0.2142
0.7349 0.2651 0.3858
0.8880 0.1120 0.2260
```

## Properties
- Space group: Cmc2_1
- Calculated volume: 24.9 A^3/atom
- Crystal system: orthorhombic

=====

VASP calculation (PBE-GGA) on a relaxed structure of AcTl3Rh.

The structure in POSCAR format:
```
AcTl3Rh
1.0
7.2435 0.0000 0.0000
-3.6217 6.2730 0.0000
0.0000 0.0000 5.9839
Ac Tl Rh
2 6 2
Direct
0.3333 0.6667 0.2500
0.6667 0.3333 0.7500
0.1835 0.3670 0.7500
0.1835 0.8165 0.7500
0.3670 0.1835 0.2500
0.6330 0.8165 0.7500
0.8165 0.1835 0.2500
0.8165 0.6330 0.2500
0.0000 0.0000 0.0000
0.0000 0.0000 0.5000
```

## Properties
- Space group: P6_3/mmc
- Calculated volume: 27.2 A^3/atom
- Crystal system: hexagonal

=====

VASP calculation (PBE-GGA) on a relaxed structure of Ac3TlRh3.

The structure in POSCAR format:
```
Ac3TlRh3
1.0
9.1012 0.0000 0.0000
-4.5506 7.8819 0.0000
0.0000 0.0000 5.9168
Ac Tl Rh
6 2 6
Direct
0.0538 0.7047 0.2500
0.2953 0.3491 0.2500
0.3491 0.0538 0.7500
0.6509 0.9462 0.2500
0.7047 0.6509 0.7500
0.9462 0.2953 0.7500
0.3333 0.6667 0.7500
0.6667 0.3333 0.2500
0.0408 0.6797 0.7500
0.3203 0.3611 0.7500
0.3611 0.0408 0.2500
0.6389 0.9592 0.7500
0.6797 0.6389 0.2500
0.9592 0.3203 0.2500
```

## Properties
- Space group: P6_3/m
- Calculated volume: 30.3 A^3/atom
- Crystal system: hexagonal

=====

VASP calculation (PBE-GGA) on a relaxed structure of Ac5Tl4Rh.

The structure in POSCAR format:
```
Ac5Tl4Rh
1.0
-5.3769 5.3769 3.1434
5.3769 -5.3769 3.1434
5.3769 5.3769 -3.1434
Ac Tl Rh
5 4 1
Direct
0.0000 0.0000 0.0000
0.2601 0.6237 0.8838
0.3763 0.2601 0.6364
0.6237 0.7399 0.3636
0.7399 0.3763 0.1162
0.0604 0.3575 0.4179
0.3575 0.9396 0.2971
0.6425 0.0604 0.7029
0.9396 0.6425 0.5821
0.5000 0.5000 0.0000
```

## Properties
- Space group: I4/m
- Calculated volume: 36.4 A^3/atom
- Crystal system: tetragonal

=====

VASP calculation (PBE-GGA) on a relaxed structure of Ac2Tl8Rh.

The structure in POSCAR format:
```
Ac2Tl8Rh
1.0
4.9509 0.0000 0.0000
0.0000 4.9509 0.0000
0.0000 0.0000 13.0563
Ac Tl Rh
2 8 1
Direct
0.0000 0.0000 0.1979
0.0000 0.0000 0.8021
0.0000 0.5000 0.0000
0.0000 0.5000 0.3836
0.0000 0.5000 0.6164
0.5000 0.0000 0.0000
0.5000 0.0000 0.3836
0.5000 0.0000 0.6164
0.5000 0.5000 0.1901
0.5000 0.5000 0.8099
0.0000 0.0000 0.5000
```

## Properties
- Space group: P4/mmm
- Calculated volume: 29.1 A^3/atom
- Crystal system: tetragonal

=====

VASP calculation (PBE-GGA) on a relaxed structure of Ac5Tl2Rh.

The structure in POSCAR format:
```
Ac5Tl2Rh
1.0
8.9926 0.0000 0.0000
0.0000 13.0593 0.0000
0.0000 0.0000 4.9860
Ac Tl Rh
10 4 2
Direct
0.0000 0.0000 0.0000
0.1383 0.2994 0.0000
0.1811 0.5708 0.5000
0.3189 0.0708 0.5000
0.3617 0.7994 0.0000
0.5000 0.5000 0.0000
0.6383 0.2006 0.0000
0.6811 0.9292 0.5000
0.8189 0.4292 0.5000
0.8617 0.7006 0.0000
0.0755 0.8296 0.5000
0.4245 0.3296 0.5000
0.5755 0.6704 0.5000
0.9245 0.1704 0.5000
0.0000 0.5000 0.0000
0.5000 0.0000 0.0000
```

## Properties
- Space group: Pbam
- Calculated volume: 36.6 A^3/atom
- Crystal system: orthorhombic

=====

VASP calculation (PBE-GGA) on a relaxed structure of Ac4Tl2Rh.

The structure in POSCAR format:
```
Ac4Tl2Rh
1.0
9.3062 -2.0952 0.0000
9.3062 2.0952 0.0000
-2.6011 0.0000 6.6546
Ac Tl Rh
4 2 1
Direct
0.0895 0.0895 0.4264
0.3882 0.3882 0.0415
0.6118 0.6118 0.9585
0.9105 0.9105 0.5736
0.2570 0.2570 0.3127
0.7430 0.7430 0.6873
0.0000 0.0000 0.0000
```

## Properties
- Space group: C2/m
- Calculated volume: 37.1 A^3/atom
- Crystal system: monoclinic

=====

VASP calculation (PBE-GGA) on a relaxed structure of Ac5Tl3Rh3.

The structure in POSCAR format:
```
Ac5Tl3Rh3
1.0
9.3022 0.0000 0.0000
-4.6511 8.0560 0.0000
0.0000 0.0000 5.2995
Ac Tl Rh
5 3 3
Direct
0.0000 0.7661 0.0000
0.2339 0.2339 0.0000
0.3333 0.6667 0.0000
0.6667 0.3333 0.0000
0.7661 0.0000 0.0000
0.0000 0.3618 0.5000
0.3618 0.0000 0.5000
0.6382 0.6382 0.5000
0.0000 0.3716 0.0000
0.3716 0.0000 0.0000
0.6284 0.6284 0.0000
```

## Properties
- Space group: P-62m
- Calculated volume: 36.1 A^3/atom
- Crystal system: hexagonal

=====

VASP calculation (PBE-GGA) on a relaxed structure of AcTlRh.

The structure in POSCAR format:
```
AcTlRh
1.0
4.7344 0.0000 0.0000
-2.3672 4.1001 0.0000
0.0000 0.0000 4.2678
Ac Tl Rh
1 1 1
Direct
0.0000 0.0000 0.0000
0.6667 0.3333 0.5031
0.3333 0.6667 0.5727
```

## Properties
- Space group: P3m1
- Calculated volume: 27.6 A^3/atom
- Crystal system: trigonal

=====

VASP calculation (PBE-GGA) on a relaxed structure of Ac6TlRh3.

The structure in POSCAR format:
```
Ac6TlRh3
1.0
12.7272 0.0000 0.0000
0.0000 4.3446 0.0000
-3.9396 0.0000 12.4727
Ac Tl Rh
12 2 6
Direct
0.0214 0.2500 0.3853
0.1120 0.2500 0.9475
0.2044 0.7500 0.2542
0.2936 0.7500 0.7623
0.3489 0.2500 0.5264
0.4220 0.7500 0.0850
0.5780 0.2500 0.9150
0.6511 0.7500 0.4736
0.7064 0.2500 0.2377
0.7956 0.2500 0.7458
0.8880 0.7500 0.0525
0.9786 0.7500 0.6147
0.4499 0.2500 0.3047
0.5501 0.7500 0.6953
0.0428 0.2500 0.1603
0.1762 0.7500 0.4873
0.3445 0.2500 0.9188
0.6555 0.7500 0.0812
0.8238 0.2500 0.5127
0.9572 0.7500 0.8397
```

## Properties
- Space group: P2_1/m
- Calculated volume: 34.5 A^3/atom
- Crystal system: monoclinic

=====

VASP calculation (PBE-GGA) on a relaxed structure of Ac6Tl2Rh3.

The structure in POSCAR format:
```
Ac6Tl2Rh3
1.0
3.7122 -6.4172 0.0000
3.7122 6.4172 0.0000
-2.5328 0.0000 8.5447
Ac Tl Rh
6 2 3
Direct
0.0623 0.4006 0.1970
0.2627 0.2627 0.8080
0.4006 0.0623 0.1970
0.5994 0.9377 0.8030
0.7373 0.7373 0.1920
0.9377 0.5994 0.8030
0.1625 0.8375 0.5000
0.8375 0.1625 0.5000
0.0000 0.0000 0.0000
0.3328 0.6672 0.0000
0.6672 0.3328 0.0000
```

## Properties
- Space group: C2/m
- Calculated volume: 37.0 A^3/atom
- Crystal system: monoclinic

=====

VASP calculation (PBE-GGA) on a relaxed structure of AcTlRh.

The structure in POSCAR format:
```
AcTlRh
1.0
3.9370 -2.5090 0.0000
3.9370 2.5090 0.0000
-2.4432 0.0000 8.5906
Ac Tl Rh
2 2 2
Direct
0.0000 0.0000 0.0000
0.1514 0.1514 0.4754
0.5671 0.5671 0.7355
0.7241 0.7241 0.2384
0.3633 0.3633 0.2141
0.8863 0.8863 0.6487
```

## Properties
- Space group: Cm
- Calculated volume: 28.3 A^3/atom
- Crystal system: monoclinic

=====

| no. | DFT total energy (Ry per atom) |
| --- | --- |
| 1 | -0.332 |
| 2 | -0.286 |
| 3 | -0.418 |
| 4 | -0.297 |
| 5 | -0.248 |
| 6 | -0.329 |
| 7 | -0.326 |
| 8 | -0.352 |
| 9 | -0.366 |
| 10 | -0.400 |
| 11 | -0.381 |
| 12 | -0.368 |